VASP calculation (PBE) on a relaxed PaTlIr crystal.

Cell lengths 4.827, 4.827, 4.827 Å; angles 60.00, 60.00, 60.00 degrees
Element x y z (fractional)
Pa 0.000 0.000 0.000
Tl 0.250 0.250 0.250
Ir 0.750 0.750 0.750

The calculation puts the total energy at -6.494 eV/atom. The calculation puts the offset from the most stable computed form at 1.94 eV per formula unit. Its crystal system is cubic.